## Sm3HoSe4 (PBE)

Data for a relaxed Sm3HoSe4 crystal.

Lattice parameters (Å, degrees): 7.1852 7.2269 8.2090 90.00 90.00 109.24
Closest atoms and distances in Å follow each position.
Element x y z (fractional)
Se1 0.9959 0.2462 0.6293  1 Ho 2.87, 5 Sm 2.92-2.96
Se2 0.5004 0.2425 0.8789  2 Ho 2.89, 4 Sm 2.93-2.98
Se3 0.4959 0.2462 0.3707  1 Ho 2.87, 5 Sm 2.92-2.96
Se4 0.0004 0.2425 0.1211  2 Ho 2.89, 4 Sm 2.93-2.98
Se5 0.9996 0.7575 0.8789  2 Ho 2.89, 4 Sm 2.93-2.98
Se6 0.5041 0.7538 0.6293  1 Ho 2.87, 5 Sm 2.92-2.96
Se7 0.4996 0.7575 0.1211  2 Ho 2.89, 4 Sm 2.93-2.98
Se8 0.0041 0.7538 0.3707  1 Ho 2.87, 5 Sm 2.92-2.96
Ho1 0.7500 0.0000 0.8736  6 Se 2.87-2.89
Ho2 0.2500 0.0000 0.1264  6 Se 2.87-2.89
Sm1 0.7500 0.0000 0.3764  6 Se 2.92-2.94
Sm2 0.2500 0.0000 0.6236  6 Se 2.92-2.94
Sm3 0.7500 0.5000 0.6230  6 Se 2.94-2.98
Sm4 0.7500 0.5000 0.1264  6 Se 2.92-2.98
Sm5 0.2500 0.5000 0.3770  6 Se 2.94-2.98
Sm6 0.2500 0.5000 0.8736  6 Se 2.92-2.98

Summary:
E_form (uncorrected): -1.80 eV per atom
total magnetization: 0.00 Bohr magnetons per cell
energy relative to the lowest polymorph listed for this composition: 0 meV per atom